Entry from Alexandria: a geometry-optimized YAgPb2 structure (PBE).

Structure (CIF):
```
data_YAgPb2
_chemical_formula_sum 'Y1 Ag1 Pb2'
_symmetry_space_group_name_H-M 'P m m m'
_symmetry_Int_Tables_number 47
_cell_length_a 3.458
_cell_length_b 4.424
_cell_length_c 6.896
_cell_angle_alpha 90.00
_cell_angle_beta 90.00
_cell_angle_gamma 90.00
loop_
_symmetry_equiv_pos_as_xyz
'x,y,z'
'-x,-y,-z'
'-x,-y,z'
'x,y,-z'
'x,-y,-z'
'-x,y,z'
'-x,y,-z'
'x,-y,z'
loop_
_atom_site_label
_atom_site_fract_x
_atom_site_fract_y
_atom_site_fract_z
Y1 0.000 0.000 0.000
Ag1 0.000 0.000 0.500
Pb1 0.500 0.500 0.264
```

- DFT total energy: -17.2 eV/cell
- M_tot: 0.00 μB per cell
- Formation energy from the elements: -0.46 eV/f.u.

***

Entry from Alexandria: a geometry-optimized SrPN3 structure (PBE).

Structure (CIF):
```
data_SrPN3
_chemical_formula_sum 'Sr3 P3 N9'
_symmetry_space_group_name_H-M 'R 3 m'
_symmetry_Int_Tables_number 160
_symmetry_space_group_name_Hall 'R 3 -2"'
_cell_length_a 5.8613
_cell_length_b 5.8613
_cell_length_c 8.2946
_cell_angle_alpha 90.00
_cell_angle_beta 90.00
_cell_angle_gamma 120.00
loop_
_atom_site_label
_atom_site_fract_x
_atom_site_fract_y
_atom_site_fract_z
Sr1 0.0000 0.0000 0.0000
P1 0.0000 0.0000 0.4617
N1 0.0243 0.5122 0.1148
```

- DFT total energy: -95.1 eV/cell
- Uncorrected formation energy: 7 kJ per mole of atoms
- M_tot: 3.74 μB per cell

***

Entry from Alexandria: a geometry-optimized Ce3TmS4 structure (PBE).

Structure (CIF):
```
data_Ce3TmS4
_chemical_formula_sum 'Ce6 Tm2 S8'
_symmetry_space_group_name_H-M 'P 1 2/c 1'
_symmetry_Int_Tables_number 13
_cell_length_a 6.909
_cell_length_b 7.943
_cell_length_c 6.871
_cell_angle_alpha 90.00
_cell_angle_beta 109.41
_cell_angle_gamma 90.00
loop_
_symmetry_equiv_pos_as_xyz
'x,y,z'
'-x,-y,-z'
'-x,y,-z+1/2'
'x,-y,z+1/2'
loop_
_atom_site_label
_atom_site_fract_x
_atom_site_fract_y
_atom_site_fract_z
Ce1 0.000 0.124 0.250
Ce2 0.000 0.374 0.750
Ce3 0.500 0.124 0.750
Tm1 0.500 0.374 0.250
S1 0.256 0.131 0.006
S2 0.262 0.381 0.500
```

- DFT total energy: -109.9 eV/cell
- Uncorrected formation energy: -195 kJ per mole of atoms
- M_tot: 3.44 μB per cell

***

Entry from Alexandria: a geometry-optimized Tb2Pm3Sb3 structure (PBE).

Structure (CIF):
```
data_Tb2Pm3Sb3
_chemical_formula_sum 'Tb4 Pm6 Sb6'
_symmetry_space_group_name_H-M 'P 63/m c m'
_symmetry_Int_Tables_number 193
_symmetry_space_group_name_Hall '-P 6c 2'
_cell_length_a 9.1547
_cell_length_b 9.1547
_cell_length_c 6.4332
_cell_angle_alpha 90.00
_cell_angle_beta 90.00
_cell_angle_gamma 120.00
loop_
_atom_site_label
_atom_site_fract_x
_atom_site_fract_y
_atom_site_fract_z
Tb1 0.3333 0.6667 0.0000
Pm1 0.0000 0.2482 0.2500
Sb1 0.0000 0.3911 0.7500
```

- DFT total energy: -87.2 eV/cell
- Uncorrected formation energy: -93 kJ per mole of atoms
- M_tot: 0.01 μB per cell

***

Entry from Alexandria: a geometry-optimized NpNiPbSe4 structure (PBE).

Structure (CIF):
```
data_NpNiPbSe4
_chemical_formula_sum 'Np2 Ni2 Pb2 Se8'
_symmetry_space_group_name_H-M 'P 1 21/m 1'
_symmetry_Int_Tables_number 11
_cell_length_a 6.914
_cell_length_b 5.843
_cell_length_c 8.623
_cell_angle_alpha 90.00
_cell_angle_beta 106.18
_cell_angle_gamma 90.00
loop_
_symmetry_equiv_pos_as_xyz
'x,y,z'
'-x,-y,-z'
'-x,y+1/2,-z'
'x,-y+1/2,z'
loop_
_atom_site_label
_atom_site_fract_x
_atom_site_fract_y
_atom_site_fract_z
Np1 0.240 0.250 0.446
Ni1 0.255 0.750 0.660
Pb1 0.221 0.250 0.949
Se1 0.070 0.750 0.859
Se2 0.071 0.750 0.394
Se3 0.481 0.508 0.272
```

- DFT total energy: -81.6 eV/cell
- Uncorrected formation energy: -61 kJ per mole of atoms
- M_tot: 4.66 μB per cell

***

Entry from Alexandria: a geometry-optimized CrAu2Se structure (PBE).

Structure (CIF):
```
data_CrAu2Se
_chemical_formula_sum 'Cr2 Au4 Se2'
_symmetry_space_group_name_H-M 'I m m m'
_symmetry_Int_Tables_number 71
_symmetry_space_group_name_Hall '-I 2 2'
_cell_length_a 3.890
_cell_length_b 3.930
_cell_length_c 9.664
_cell_angle_alpha 90.00
_cell_angle_beta 90.00
_cell_angle_gamma 90.00
loop_
_atom_site_label
_atom_site_fract_x
_atom_site_fract_y
_atom_site_fract_z
Cr1 0.000 0.000 0.000
Au1 0.000 0.500 0.245
Se1 0.000 0.000 0.500
```

- DFT total energy: -38.2 eV/cell
- Uncorrected formation energy: 13 kJ per mole of atoms
- M_tot: 8.40 μB per cell

***

Entry from Alexandria: a geometry-optimized YUPb2O8 structure (PBE).

Structure (CIF):
```
data_YUPb2O8
_chemical_formula_sum 'Y2 U2 Pb4 O16'
_symmetry_space_group_name_H-M 'C m m m'
_symmetry_Int_Tables_number 65
_symmetry_space_group_name_Hall '-C 2 2'
_cell_length_a 7.314
_cell_length_b 7.353
_cell_length_c 6.962
_cell_angle_alpha 90.00
_cell_angle_beta 90.00
_cell_angle_gamma 90.00
loop_
_atom_site_label
_atom_site_fract_x
_atom_site_fract_y
_atom_site_fract_z
Y1 0.000 0.000 0.000
U1 0.000 0.000 0.500
Pb1 0.000 0.500 0.248
O1 0.000 0.180 0.272
O2 0.192 0.500 0.000
O3 0.203 0.500 0.500
```

- DFT total energy: -181.8 eV/cell
- Uncorrected formation energy: -210 kJ per mole of atoms
- M_tot: 0.00 μB per cell

***

Entry from Alexandria: a geometry-optimized Li2CaZn structure (PBE).

Structure (CIF):
```
data_Li2CaZn
_chemical_formula_sum 'Li4 Ca2 Zn2'
_symmetry_space_group_name_H-M 'I m m 2'
_symmetry_Int_Tables_number 44
_cell_length_a 4.525
_cell_length_b 4.562
_cell_length_c 8.643
_cell_angle_alpha 90.00
_cell_angle_beta 90.00
_cell_angle_gamma 90.00
loop_
_symmetry_equiv_pos_as_xyz
'x,y,z'
'-x,-y,z'
'-x,y,z'
'x,-y,z'
'x+1/2,y+1/2,z+1/2'
'-x+1/2,-y+1/2,z+1/2'
'-x+1/2,y+1/2,z+1/2'
'x+1/2,-y+1/2,z+1/2'
loop_
_atom_site_label
_atom_site_fract_x
_atom_site_fract_y
_atom_site_fract_z
Li1 0.000 0.000 0.000
Li2 0.000 0.500 0.250
Ca1 0.000 0.000 0.499
Zn1 0.000 0.500 0.748
```

- DFT total energy: -14.6 eV/cell
- M_tot: 0.00 μB per cell
- Formation energy from the elements: -0.21 eV/f.u.

***

Entry from Alexandria: a geometry-optimized ScTcMo2 structure (PBE).

Structure (CIF):
```
data_ScTcMo2
_chemical_formula_sum 'Sc3 Tc3 Mo6'
_symmetry_space_group_name_H-M 'R -3 m'
_symmetry_Int_Tables_number 166
_symmetry_space_group_name_Hall '-R 3 2"'
_cell_length_a 2.9004
_cell_length_b 2.9004
_cell_length_c 27.5867
_cell_angle_alpha 90.00
_cell_angle_beta 90.00
_cell_angle_gamma 120.00
loop_
_atom_site_label
_atom_site_fract_x
_atom_site_fract_y
_atom_site_fract_z
Sc1 0.0000 0.0000 0.0000
Tc1 0.0000 0.0000 0.5000
Mo1 0.0000 0.0000 0.2448
```

- DFT total energy: -111.8 eV/cell
- Polymorph energy (0 for the lowest one): 0.381 eV/atom
- M_tot: 0.00 μB per cell
- Formation energy from the elements: 1.09 eV/f.u.

***

Entry from Alexandria: a geometry-optimized Tl3Sn2Pd8 structure (PBE).

Structure (CIF):
```
data_Tl3Sn2Pd8
_chemical_formula_sum 'Tl9 Sn6 Pd24'
_symmetry_space_group_name_H-M 'R -3 m'
_symmetry_Int_Tables_number 166
_symmetry_space_group_name_Hall '-R 3 2"'
_cell_length_a 5.4902
_cell_length_b 5.4902
_cell_length_c 29.7027
_cell_angle_alpha 90.00
_cell_angle_beta 90.00
_cell_angle_gamma 120.00
loop_
_atom_site_label
_atom_site_fract_x
_atom_site_fract_y
_atom_site_fract_z
Tl1 0.0000 0.0000 0.0000
Tl2 0.0000 0.0000 0.1874
Sn1 0.0000 0.0000 0.3675
Pd1 0.0000 0.0000 0.2795
Pd2 0.0041 0.5020 0.7717
```

- DFT total energy: -174.9 eV/cell
- M_tot: 0.00 μB per cell
- Formation energy from the elements: -1.66 eV/f.u.

***

Entry from Alexandria: a geometry-optimized TlBHIr2 structure (PBE).

Structure (CIF):
```
data_TlBHIr2
_chemical_formula_sum 'Tl1 B1 H1 Ir2'
_symmetry_space_group_name_H-M 'P 4/m m m'
_symmetry_Int_Tables_number 123
_symmetry_space_group_name_Hall '-P 4 2'
_cell_length_a 5.042
_cell_length_b 5.042
_cell_length_c 3.225
_cell_angle_alpha 90.00
_cell_angle_beta 90.00
_cell_angle_gamma 90.00
loop_
_atom_site_label
_atom_site_fract_x
_atom_site_fract_y
_atom_site_fract_z
Tl1 0.000 0.000 0.000
B1 0.500 0.500 0.500
H1 0.000 0.000 0.500
Ir1 0.000 0.500 0.000
```

- DFT total energy: -19.0 eV/cell
- M_tot: 0.00 μB per cell

***

Entry from Alexandria: a geometry-optimized Pm2PrEr4Tm structure (PBE).

Structure (CIF):
```
data_Pm2PrEr4Tm
_chemical_formula_sum 'Pm4 Pr2 Er8 Tm2'
_symmetry_space_group_name_H-M 'P -1'
_symmetry_Int_Tables_number 2
_cell_length_a 6.778
_cell_length_b 9.492
_cell_length_c 9.492
_cell_angle_alpha 76.98
_cell_angle_beta 69.13
_cell_angle_gamma 69.12
loop_
_symmetry_equiv_pos_as_xyz
'x,y,z'
'-x,-y,-z'
loop_
_atom_site_label
_atom_site_fract_x
_atom_site_fract_y
_atom_site_fract_z
Pm1 0.000 0.000 0.000
Pm2 0.000 0.000 0.500
Pm3 0.000 0.500 0.000
Pm4 0.500 0.000 0.000
Pr1 0.500 0.000 0.500
Pr2 0.500 0.500 0.000
Er1 0.244 0.256 0.255
Er2 0.249 0.745 0.255
Er3 0.251 0.255 0.745
Er4 0.255 0.744 0.745
Tm1 0.000 0.500 0.500
Tm2 0.500 0.500 0.500
```

- DFT total energy: -67.3 eV/cell
- M_tot: 1.17 μB per cell
- Formation energy from the elements: 3.37 eV/f.u.

***

Entry from Alexandria: a geometry-optimized MgPtW2 structure (PBE).

Structure (CIF):
```
data_MgPtW2
_chemical_formula_sum 'Mg3 Pt3 W6'
_symmetry_space_group_name_H-M 'R 3 m'
_symmetry_Int_Tables_number 160
_symmetry_space_group_name_Hall 'R 3 -2"'
_cell_length_a 2.8339
_cell_length_b 2.8339
_cell_length_c 28.3581
_cell_angle_alpha 90.00
_cell_angle_beta 90.00
_cell_angle_gamma 120.00
loop_
_atom_site_label
_atom_site_fract_x
_atom_site_fract_y
_atom_site_fract_z
Mg1 0.0000 0.0000 0.0000
Pt1 0.0000 0.0000 0.7462
W1 0.0000 0.0000 0.2445
W2 0.0000 0.0000 0.4930
```

- DFT total energy: -99.3 eV/cell
- M_tot: 0.00 μB per cell
- Formation energy from the elements: 0.45 eV/f.u.